VASP calculation (GGA-PBE) on CaDy3Zn4 after structural relaxation.

Summary:
- ΔH_f (0 K): -0.318 eV/atom
- Total energy: -2.93 eV/atom
- SG: P4/mmm
- Total magnetization: 0.00 μB/f.u.

a b c (Å): 5.067 7.201 10.135
angles (deg): 90.00 90.00 90.00
Atoms (fractional coordinates):
Zn (0.000, 0.757, 0.750)
Zn (0.500, 0.757, 0.500)
Zn (0.500, 0.243, 0.000)
Zn (0.500, 0.757, 0.000)
Zn (0.000, 0.243, 0.750)
Zn (0.000, 0.757, 0.250)
Zn (0.500, 0.243, 0.500)
Zn (0.000, 0.243, 0.250)
Dy (0.500, 0.500, 0.250)
Dy (0.000, 0.000, 0.500)
Dy (0.500, 0.000, 0.250)
Dy (0.000, 0.000, 0.000)
Dy (0.500, 0.500, 0.750)
Dy (0.500, 0.000, 0.750)
Ca (0.000, 0.500, 0.500)
Ca (0.000, 0.500, 0.000)